Record 1
Computed, not measured: an optimized crystal structure of Co2RePbN at the GGA-PBE level of DFT.

Cell: 4.029 4.029 4.014 Å, 90.00 90.00 90.00°
Space group P4/mmm (No. 123)
One atom of each set of equivalent atoms:
Co1 0.000 0.500 0.000 x2
Re1 0.000 0.000 0.500 x1
Pb1 0.500 0.500 0.500 x1
N1 0.000 0.000 0.000 x1

---

Record 2
Computed, not measured: an optimized crystal structure of CoRuPb2N at the GGA-PBE level of DFT.

Cell: 5.292 5.292 3.330 Å, 90.00 90.00 90.00°
Space group P4/mmm (No. 123)
One atom of each set of equivalent atoms:
Co1 0.000 0.000 0.000 x1
Ru1 0.500 0.500 0.500 x1
Pb1 0.000 0.500 0.000 x2
N1 0.000 0.000 0.500 x1

---

Record 3
Computed, not measured: an optimized crystal structure of CoPbSN2 at the GGA-PBE level of DFT.

Cell: 3.890 3.890 4.852 Å, 90.00 90.00 90.00°
Space group P4/mmm (No. 123)
One atom of each set of equivalent atoms:
Co1 0.000 0.000 0.000 x1
Pb1 0.500 0.500 0.500 x1
S1 0.000 0.000 0.500 x1
N1 0.000 0.500 0.000 x2

---

Record 4
Computed, not measured: an optimized crystal structure of CoPb2SeN at the GGA-PBE level of DFT.

Cell: 5.744 5.744 3.704 Å, 90.00 90.00 90.00°
Space group P4/mmm (No. 123)
One atom of each set of equivalent atoms:
Co1 0.000 0.000 0.000 x1
Pb1 0.000 0.500 0.500 x2
Se1 0.500 0.500 0.500 x1
N1 0.500 0.500 0.000 x1

---

| no. | theoretical density (kg/m³) | total energy (eV for the cell shown) | formation energy from raw total energies (eV/f.u.) |
| --- | --- | --- | --- |
| 1 | 13387 | -36.6 | 2.1 |
| 2 | 10477 | -28.7 | 3.4 |
| 3 | 7377 | -27.2 | 4.4 |
| 4 | 7694 | -20.2 | 6.1 |